Material: Tb6BiTe5
Method: DFT, PBE
State: relaxed

Calculated values
formation energy without anion corrections = -1.248 eV/atom
D(E_F) = 0.476 states/eV/atom
space-group type = C2/m (12)
magnetic moment = 0.00 μB per atom
crystal system = monoclinic

Cell: 7.5850 7.5850 7.6404 Å, 99.53 99.53 119.99°
Positions (direct):
Tb1 0.0814 0.4150 0.7480
Tb2 0.2480 0.2480 0.2510
Tb3 0.4150 0.0814 0.7480
Tb4 0.5850 0.9186 0.2520
Tb5 0.7520 0.7520 0.7490
Tb6 0.9186 0.5850 0.2520
Bi1 0.5000 0.5000 0.0000
Te1 0.0000 0.0000 0.5000
Te2 0.1673 0.8327 0.0000
Te3 0.3343 0.6657 0.5000
Te4 0.6657 0.3343 0.5000
Te5 0.8327 0.1673 0.0000